{
  "formula": "HoS2",
  "functional": "GGA-PBE",
  "state": "optimized geometry",
  "n_ef_per_ev_cell": 5.98,
  "energy_ev_per_atom": -5.9450,
  "magmom_total_mub_per_fu": 0.0,
  "e_form_raw_ev_per_atom": -1.667,
  "lattice_angstrom": [[-4.030, -0.377, -3.018], [-1.632, -6.073, 2.938], [-4.096, 3.533, 5.027]],
  "species": ["Ho", "Ho", "Ho", "Ho", "S", "S", "S", "S", "S", "S", "S", "S"],
  "fractional_positions": [[0.250, 0.755, 0.950], [0.750, 0.755, 0.550], [0.250, 0.245, 0.450], [0.750, 0.245, 0.050], [0.250, 0.893, 0.605], [0.750, 0.893, 0.895], [0.000, 0.562, 0.250], [0.500, 0.562, 0.250], [0.500, 0.438, 0.750], [0.000, 0.438, 0.750], [0.250, 0.107, 0.105], [0.750, 0.107, 0.395]]
}



{
  "formula": "Ho5S7",
  "functional": "GGA-PBE",
  "state": "optimized geometry",
  "n_ef_per_ev_cell": 1.61,
  "energy_ev_per_atom": -6.3858,
  "magmom_total_mub_per_fu": 0.0,
  "e_form_raw_ev_per_atom": -2.071,
  "lattice_angstrom": [[-0.337, -3.765, 0.262], [2.157, 1.281, -6.180], [9.689, -0.429, 6.307]],
  "species": ["S", "S", "S", "S", "S", "S", "S", "Ho", "Ho", "Ho", "Ho", "Ho"],
  "fractional_positions": [[0.741, 0.482, 0.353], [0.259, 0.518, 0.647], [0.042, 0.083, 0.785], [0.958, 0.917, 0.215], [0.341, 0.682, 0.949], [0.500, 0.000, 0.500], [0.659, 0.318, 0.051], [0.888, 0.776, 0.579], [0.112, 0.224, 0.421], [0.700, 0.400, 0.812], [0.300, 0.600, 0.188], [0.000, 0.000, 0.000]]
}



{
  "formula": "Ho3SbS2",
  "functional": "GGA-PBE",
  "state": "optimized geometry",
  "n_ef_per_ev_cell": 7.67,
  "energy_ev_per_atom": -5.6358,
  "relative_energy_ev_per_fu": 0.54,
  "magmom_total_mub_per_fu": 0.0,
  "e_form_raw_ev_per_atom": -1.284,
  "lattice_angstrom": [[7.675, 0.000, 4.043], [2.928, 6.111, 3.748], [0.858, 0.533, 7.677]],
  "species": ["Ho", "Ho", "Ho", "Ho", "Ho", "Ho", "Sb", "Sb", "S", "S", "S", "S"],
  "fractional_positions": [[0.000, 0.729, 0.271], [0.000, 0.271, 0.729], [0.500, 0.771, 0.229], [0.500, 0.000, 0.500], [0.500, 0.500, 0.000], [0.500, 0.229, 0.771], [0.187, 0.250, 0.250], [0.813, 0.750, 0.750], [0.263, 0.943, 0.943], [0.351, 0.443, 0.443], [0.649, 0.557, 0.557], [0.737, 0.057, 0.057]]
}



{
  "formula": "Ho3SbS6",
  "functional": "GGA-PBE",
  "state": "optimized geometry",
  "energy_ev_per_atom": -5.8448,
  "relative_energy_ev_per_fu": 0.00,
  "magmom_total_mub_per_fu": 0.0,
  "e_form_raw_ev_per_atom": -1.583,
  "lattice_angstrom": [[3.983, 0.000, 0.000], [0.000, 10.601, -3.645], [0.000, -0.051, 11.297]],
  "species": ["Ho", "Ho", "Ho", "Ho", "Ho", "Ho", "Sb", "Sb", "S", "S", "S", "S", "S", "S", "S", "S", "S", "S", "S", "S"],
  "fractional_positions": [[0.750, 0.428, 0.833], [0.250, 0.572, 0.167], [0.750, 0.666, 0.493], [0.250, 0.334, 0.507], [0.750, 0.161, 0.077], [0.250, 0.839, 0.923], [0.750, 0.010, 0.684], [0.250, 0.990, 0.316], [0.750, 0.486, 0.617], [0.250, 0.514, 0.383], [0.750, 0.923, 0.093], [0.250, 0.077, 0.907], [0.750, 0.396, 0.064], [0.250, 0.604, 0.936], [0.750, 0.731, 0.280], [0.250, 0.269, 0.720], [0.750, 0.113, 0.466], [0.250, 0.887, 0.534], [0.750, 0.804, 0.745], [0.250, 0.196, 0.255]]
}



What is the formula in the second record?
Ho5S7



What did the fourth record say?
{
  "formula": "Ho3SbS6",
  "functional": "GGA-PBE",
  "state": "optimized geometry",
  "energy_ev_per_atom": -5.8448,
  "relative_energy_ev_per_fu": 0.00,
  "magmom_total_mub_per_fu": 0.0,
  "e_form_raw_ev_per_atom": -1.583,
  "lattice_angstrom": [[3.983, 0.000, 0.000], [0.000, 10.601, -3.645], [0.000, -0.051, 11.297]],
  "species": ["Ho", "Ho", "Ho", "Ho", "Ho", "Ho", "Sb", "Sb", "S", "S", "S", "S", "S", "S", "S", "S", "S", "S", "S", "S"],
  "fractional_positions": [[0.750, 0.428, 0.833], [0.250, 0.572, 0.167], [0.750, 0.666, 0.493], [0.250, 0.334, 0.507], [0.750, 0.161, 0.077], [0.250, 0.839, 0.923], [0.750, 0.010, 0.684], [0.250, 0.990, 0.316], [0.750, 0.486, 0.617], [0.250, 0.514, 0.383], [0.750, 0.923, 0.093], [0.250, 0.077, 0.907], [0.750, 0.396, 0.064], [0.250, 0.604, 0.936], [0.750, 0.731, 0.280], [0.250, 0.269, 0.720], [0.750, 0.113, 0.466], [0.250, 0.887, 0.534], [0.750, 0.804, 0.745], [0.250, 0.196, 0.255]]
}



What is the formula in the second record?
Ho5S7